# 1
A relaxed Hf2Cl crystal. Source: OQMD, functional GGA-PBE.

a = 5.928 Å, b = 5.928 Å, c = 5.928 Å
α = 60.00°, β = 60.00°, γ = 60.00°
Sites, in units of the cell vectors:
Hf (0.000, 0.000, 0.000)
Hf (0.000, 0.000, 0.500)
Hf (0.000, 0.500, 0.000)
Hf (0.500, 0.000, 0.000)
Cl (0.375, 0.375, 0.375)
Cl (0.625, 0.625, 0.625)

Properties
The value obtained for the raw total energy is -6.53 eV per atom.

***

# 2
A relaxed HfCl crystal. Source: OQMD, functional GGA-PBE.

a = 4.022 Å, b = 4.022 Å, c = 4.022 Å
α = 60.00°, β = 60.00°, γ = 60.00°
Sites, in units of the cell vectors:
Hf (0.000, 0.000, 0.000)
Cl (0.250, 0.250, 0.250)

Properties
The value obtained for the raw total energy is -5.66 eV per atom.

***

# 3
A relaxed HfCl crystal. Source: OQMD, functional GGA-PBE.

a = 3.186 Å, b = 3.186 Å, c = 8.307 Å
α = 90.00°, β = 90.00°, γ = 120.00°
Sites, in units of the cell vectors:
Hf (0.000, 0.000, 0.000)
Hf (0.000, 0.000, 0.500)
Cl (0.333, 0.667, 0.250)
Cl (0.667, 0.333, 0.750)

Properties
The value obtained for the raw total energy is -6.33 eV per atom.

***

# 4
A relaxed HfCl crystal. Source: OQMD, functional GGA-PBE.

a = 3.907 Å, b = 3.907 Å, c = 5.691 Å
α = 90.00°, β = 90.00°, γ = 120.00°
Sites, in units of the cell vectors:
Hf (0.333, 0.667, 0.250)
Hf (0.667, 0.333, 0.750)
Cl (0.000, 0.000, 0.000)
Cl (0.000, 0.000, 0.500)

Properties
The value obtained for the raw total energy is -5.74 eV per atom.